1.
DFT (GGA-PBE) results for La6CoNiSn2 after structural relaxation.

Its calculated formation energy is -4.3 eV/f.u. Its crystal system is tetragonal. The calculation puts the density at 6.4 g/cm3. The value obtained for the total magnetization is 0.000 μB/cell. For the density of states at the Fermi level, the calculation gives 0.5869 states/eV/atom. The total energy is -5.473 eV/atom. As for the space group: I4/mmm (139).

Unit cell a=7.529 b=7.529 c=7.600 alpha=119.70 beta=119.70 gamma=90.02
Atoms (fractional coordinates):
Ni  0.500  0.500  0.000
La  0.759  0.241  0.000
La  0.240  0.240  0.000
La  0.240  0.760  0.000
La  0.262  0.262  0.523
La  0.760  0.761  0.999
La  0.738  0.739  0.477
Sn  0.250  0.750  0.500
Sn  0.750  0.251  0.500
Co  0.000  0.000  0.000

---

2.
DFT (GGA-PBE) results for CsBS2 after structural relaxation.

Its crystal system is orthorhombic. The calculation puts the density at 2.8 g/cm3. The value obtained for the total magnetization is 0.000 μB/cell. For the density of states at the Fermi level, the calculation gives 0.0000 states/eV/atom. The total energy is -4.787 eV/atom. As for the space group: Pna2_1 (33). The energy above the most stable polymorph in this dataset is 47 meV per atom.

Unit cell a=5.762 b=11.134 c=7.676 alpha=90.00 beta=90.00 gamma=90.00
Atoms (fractional coordinates):
Cs  0.439  0.413  0.493
Cs  0.061  0.913  0.993
Cs  0.561  0.587  0.993
Cs  0.939  0.087  0.493
S  0.774  0.208  0.065
S  0.726  0.708  0.565
S  0.226  0.792  0.565
S  0.054  0.619  0.252
S  0.946  0.381  0.752
S  0.446  0.119  0.752
S  0.274  0.292  0.065
S  0.554  0.881  0.252
B  0.989  0.295  0.940
B  0.489  0.205  0.940
B  0.511  0.795  0.440
B  0.011  0.705  0.440

---

3.
DFT (GGA-PBE) results for Mg4FeRu after structural relaxation.

Its calculated formation energy is 3.4 eV/f.u. Its crystal system is cubic. The calculation puts the density at 3.9 g/cm3. The value obtained for the total magnetization is 3.803 μB/cell. For the density of states at the Fermi level, the calculation gives 0.9016 states/eV/atom. The total energy is -3.451 eV/atom. As for the space group: F-43m (216).

Unit cell a=5.338 b=5.338 c=5.338 alpha=60.00 beta=60.00 gamma=60.00
Atoms (fractional coordinates):
Mg  0.375  0.375  0.874
Mg  0.874  0.375  0.375
Mg  0.375  0.874  0.375
Mg  0.375  0.375  0.375
Fe  0.000  0.000  0.000
Ru  0.750  0.750  0.750

---

4.
DFT (GGA-PBE) results for In8Ir after structural relaxation.

Its calculated formation energy is 1.0 eV/f.u. Its crystal system is tetragonal. The calculation puts the density at 8.5 g/cm3. The value obtained for the total magnetization is 0.000 μB/cell. For the density of states at the Fermi level, the calculation gives 0.5906 states/eV/atom. The total energy is -3.306 eV/atom. As for the space group: I4/mmm (139).

Unit cell a=7.313 b=7.313 c=7.313 alpha=95.46 beta=95.46 gamma=144.07
Atoms (fractional coordinates):
In  0.653  0.347  0.000
In  0.347  0.347  0.694
In  0.317  0.000  0.317
In  0.683  0.000  0.683
In  0.000  0.317  0.317
In  0.347  0.653  0.000
In  0.000  0.683  0.683
In  0.653  0.653  0.306
Ir  0.000  0.000  0.000

---

5.
DFT (GGA-PBE) results for AcLa7Nd4 after structural relaxation.

Its calculated formation energy is 2.5 eV/f.u. Its crystal system is monoclinic. The calculation puts the density at 6.5 g/cm3. The value obtained for the total magnetization is 0.318 μB/cell. For the density of states at the Fermi level, the calculation gives 1.8699 states/eV/atom. The total energy is -4.599 eV/atom. As for the space group: C2/m (12). The energy above the most stable polymorph in this dataset is 190 meV per atom.

Unit cell a=6.322 b=9.335 c=9.063 alpha=68.64 beta=69.59 gamma=70.21
Atoms (fractional coordinates):
La  0.077  0.564  0.282
La  0.731  0.292  0.245
La  0.500  0.000  0.000
La  0.923  0.436  0.718
La  0.789  0.882  0.539
La  0.269  0.708  0.755
La  0.211  0.118  0.461
Ac  0.000  0.000  0.000
Nd  0.685  0.640  0.990
Nd  0.458  0.712  0.372
Nd  0.542  0.288  0.628
Nd  0.315  0.360  0.010

---

6.
DFT (GGA-PBE) results for Ho6Hg3SeS2 after structural relaxation.

Its crystal system is monoclinic. The calculation puts the density at 9.7 g/cm3. The value obtained for the total magnetization is 0.000 μB/cell. For the density of states at the Fermi level, the calculation gives 0.4889 states/eV/atom. The total energy is -4.498 eV/atom. As for the space group: C2/m (12).

Unit cell a=6.719 b=6.719 c=7.891 alpha=98.17 beta=98.17 gamma=119.96
Atoms (fractional coordinates):
Se  0.000  0.000  0.000
Hg  0.840  0.160  0.500
Hg  0.160  0.840  0.500
Hg  0.500  0.500  0.500
S  0.668  0.332  0.000
S  0.332  0.668  0.000
Ho  0.073  0.415  0.220
Ho  0.271  0.271  0.785
Ho  0.729  0.729  0.215
Ho  0.927  0.585  0.780
Ho  0.415  0.073  0.220
Ho  0.585  0.927  0.780

---

7.
DFT (GGA-PBE) results for GeP3I after structural relaxation.

Its crystal system is cubic. The calculation puts the density at 4.4 g/cm3. The value obtained for the total magnetization is 0.000 μB/cell. For the density of states at the Fermi level, the calculation gives 0.9185 states/eV/atom. The total energy is -3.452 eV/atom. As for the space group: Pm-3m (221). The energy above the most stable polymorph in this dataset is 0 meV per atom.

Unit cell a=4.806 b=4.806 c=4.806 alpha=90.00 beta=90.00 gamma=90.00
Atoms (fractional coordinates):
P  0.000  0.500  0.000
P  0.000  0.000  0.500
P  0.500  0.000  0.000
Ge  0.000  0.000  0.000
I  0.500  0.500  0.500

---

8.
DFT (GGA-PBE) results for RbY2ReRu after structural relaxation.

Its calculated formation energy is 3.3 eV/f.u. Its crystal system is tetragonal. The calculation puts the density at 6.3 g/cm3. The value obtained for the total magnetization is 0.599 μB/cell. For the density of states at the Fermi level, the calculation gives 1.0091 states/eV/atom. The total energy is -6.467 eV/atom. As for the space group: P4/mmm (123).

Unit cell a=5.511 b=4.795 c=5.511 alpha=90.00 beta=90.00 gamma=90.00
Atoms (fractional coordinates):
Re  0.000  0.500  0.000
Ru  0.000  0.000  0.000
Y  0.500  0.000  0.000
Y  0.000  0.000  0.500
Rb  0.500  0.500  0.500

---

9.
DFT (GGA-PBE) results for Tb2Pm3Dy3 after structural relaxation.

Its calculated formation energy is 0.1 eV/f.u. Its crystal system is orthorhombic. The calculation puts the density at 7.9 g/cm3. The value obtained for the total magnetization is 0.000 μB/cell. For the density of states at the Fermi level, the calculation gives 1.4718 states/eV/atom. The total energy is -4.647 eV/atom. As for the space group: Immm (71). The energy above the most stable polymorph in this dataset is 0 meV per atom.

Unit cell a=5.069 b=5.070 c=10.763 alpha=103.61 beta=103.62 gamma=90.00
Atoms (fractional coordinates):
Tb  0.750  0.250  0.501
Tb  0.250  0.750  0.499
Dy  0.374  0.374  0.748
Dy  0.500  0.000  0.000
Dy  0.626  0.626  0.252
Pm  0.125  0.125  0.250
Pm  0.000  0.500  0.000
Pm  0.875  0.875  0.750

---

10.
DFT (GGA-PBE) results for FeP2Ir after structural relaxation.

Its calculated formation energy is 1.8 eV/f.u. Its crystal system is cubic. The calculation puts the density at 9.5 g/cm3. The value obtained for the total magnetization is 3.062 μB/cell. For the density of states at the Fermi level, the calculation gives 1.0233 states/eV/atom. The total energy is -6.577 eV/atom. As for the space group: F-43m (216). The energy above the most stable polymorph in this dataset is 830 meV per atom.

Unit cell a=4.255 b=4.255 c=4.255 alpha=60.00 beta=60.00 gamma=60.00
Atoms (fractional coordinates):
Ir  0.750  0.750  0.750
P  0.000  0.000  0.000
P  0.250  0.250  0.250
Fe  0.500  0.500  0.500

---

11.
DFT (GGA-PBE) results for AcDyBi2O8 after structural relaxation.

Its crystal system is tetragonal. The calculation puts the density at 8.6 g/cm3. The value obtained for the total magnetization is 0.000 μB/cell. The total energy is -6.620 eV/atom. As for the space group: I-4 (82).

Unit cell a=5.552 b=5.552 c=7.034 alpha=113.24 beta=113.24 gamma=90.00
Atoms (fractional coordinates):
Bi  0.250  0.750  0.500
Bi  0.500  0.500  0.000
O  0.974  0.397  0.304
O  0.330  0.907  0.304
O  0.795  0.837  0.178
O  0.163  0.617  0.822
O  0.383  0.342  0.178
O  0.603  0.670  0.696
O  0.093  0.026  0.696
O  0.658  0.205  0.822
Ac  0.750  0.250  0.500
Dy  0.000  0.000  0.000

---

12.
DFT (GGA-PBE) results for TlSiAu2 after structural relaxation.

Its crystal system is tetragonal. The calculation puts the density at 12.5 g/cm3. The value obtained for the total magnetization is 0.000 μB/cell. For the density of states at the Fermi level, the calculation gives 0.1527 states/eV/atom. The total energy is -3.436 eV/atom. As for the space group: P4/mmm (123). The energy above the most stable polymorph in this dataset is 181 meV per atom.

Unit cell a=3.277 b=3.277 c=7.723 alpha=90.00 beta=90.00 gamma=90.00
Atoms (fractional coordinates):
Au  0.000  0.000  0.443
Au  0.000  0.000  0.057
Si  0.500  0.500  0.250
Tl  0.500  0.500  0.750